1.
Entry from Alexandria: a PBEsol-optimized structure of SrLaCd2 (SCAN).

Values from the calculation:
magnetization = 0.0 μB per cell
raw total energy = -31.72 eV per atom
crystal system = tetragonal
energy of formation from the pure elements = -0.17 eV/atom

Lattice parameters (Å, degrees): 3.7120 3.7120 8.9421 90.00 90.00 90.00
Element x y z (fractional)
Cd1 0.0000 0.0000 0.0433
Cd2 0.5000 0.5000 0.2137
La1 0.0000 0.0000 0.4403
Sr1 0.5000 0.5000 0.8027



2.
Entry from Alexandria: a PBEsol-optimized structure of NbPbSe2 (SCAN).

Values from the calculation:
magnetization = 0.0 μB per cell
raw total energy = -37.93 eV per atom
formation energy (no corrections) = -665.4 meV per atom
crystal system = trigonal

Lattice parameters (Å, degrees): 3.4001 3.4001 9.6586 79.86 79.86 60.00
Element x y z (fractional)
Pb1 0.0000 0.0000 0.0000
Nb1 0.5000 0.5000 0.5000
Se1 0.8933 0.8933 0.3200
Se2 0.1067 0.1067 0.6800



3.
Entry from Alexandria: a PBEsol-optimized structure of CuBS2N (SCAN).

Values from the calculation:
magnetization = 0.0 μB per cell
raw total energy = -9.76 eV per atom
formation energy (no corrections) = 476.4 meV per atom
crystal system = tetragonal

Lattice parameters (Å, degrees): 2.6786 4.8032 4.8032 90.00 90.00 90.00
Element x y z (fractional)
S1 0.0000 0.0000 0.5000
S2 0.0000 0.5000 0.0000
B1 0.0000 0.0000 0.0000
Cu1 0.5000 0.5000 0.5000
N1 0.5000 0.0000 0.0000



4.
Entry from Alexandria: a PBEsol-optimized structure of MnTcRu (SCAN).

Values from the calculation:
magnetization = 2.8 μB per cell
raw total energy = -29.36 eV per atom
crystal system = orthorhombic
energy of formation from the pure elements = 0.02 eV/atom

Lattice parameters (Å, degrees): 2.6322 3.6729 4.5448 113.83 106.83 90.00
Site moments in Bohr magnetons follow the coordinates.
Element x y z (fractional)
Mn1 0.0010 0.0010 0.0019  3.10
Ru1 0.6625 0.6625 0.3249  -0.02
Tc1 0.3366 0.3366 0.6731  -0.35



5.
Entry from Alexandria: a PBEsol-optimized structure of ZnSeO3 (SCAN).

Values from the calculation:
magnetization = 0.0 μB per cell
raw total energy = -10.30 eV per atom
formation energy (no corrections) = 152.7 meV per atom
crystal system = cubic

Lattice parameters (Å, degrees): 3.7900 3.7900 3.7900 90.00 90.00 90.00
Element x y z (fractional)
Zn1 0.0000 0.0000 0.0000
O1 0.0000 0.5000 0.0000
O2 0.0000 0.0000 0.5000
O3 0.5000 0.0000 0.0000
Se1 0.5000 0.5000 0.5000



6.
Entry from Alexandria: a PBEsol-optimized structure of Zr2Be2Tc (SCAN).

Values from the calculation:
magnetization = 0.0 μB per cell
raw total energy = -21.27 eV per atom
crystal system = tetragonal
energy of formation from the pure elements = -0.23 eV/atom

Lattice parameters (Å, degrees): 3.5146 6.4624 6.4624 90.00 90.00 90.00
Element x y z (fractional)
Be1 0.0000 0.3838 0.8838
Be2 0.0000 0.8838 0.6162
Be3 0.0000 0.6162 0.1162
Be4 0.0000 0.1162 0.3838
Tc1 0.0000 0.0000 0.0000
Tc2 0.0000 0.5000 0.5000
Zr1 0.5000 0.1828 0.6828
Zr2 0.5000 0.6828 0.8172
Zr3 0.5000 0.8172 0.3172
Zr4 0.5000 0.3172 0.1828



7.
Entry from Alexandria: a PBEsol-optimized structure of TaCr2Si (SCAN).

Values from the calculation:
magnetization = 2.9 μB per cell
raw total energy = -28.62 eV per atom
formation energy (no corrections) = -273.4 meV per atom
crystal system = tetragonal

Lattice parameters (Å, degrees): 3.1448 4.0802 4.0802 90.00 90.00 90.00
Site moments in Bohr magnetons follow the coordinates.
Element x y z (fractional)
Cr1 0.0000 0.0000 0.5000  1.73
Cr2 0.0000 0.5000 0.0000  1.73
Si1 0.5000 0.5000 0.5000  -0.12
Ta1 0.5000 0.0000 0.0000  -0.42



8.
Entry from Alexandria: a PBEsol-optimized structure of TmSnPt2 (SCAN).

Values from the calculation:
magnetization = 0.0 μB per cell
raw total energy = -58.19 eV per atom
crystal system = hexagonal
energy of formation from the pure elements = -1.16 eV/atom

Lattice parameters (Å, degrees): 4.4828 4.4828 8.8531 90.00 90.00 120.00
Element x y z (fractional)
Tm1 0.6667 0.3333 0.7500
Tm2 0.3333 0.6667 0.2500
Sn1 0.0000 0.0000 0.0000
Sn2 0.0000 0.0000 0.5000
Pt1 0.6667 0.3333 0.0893
Pt2 0.3333 0.6667 0.9107
Pt3 0.3333 0.6667 0.5893
Pt4 0.6667 0.3333 0.4107



9.
Entry from Alexandria: a PBEsol-optimized structure of BeZnAg (SCAN).

Values from the calculation:
magnetization = 0.0 μB per cell
raw total energy = -16.02 eV per atom
relative energy among the computed polymorphs = 344 meV per atom
crystal system = cubic
energy of formation from the pure elements = 0.39 eV/atom

Lattice parameters (Å, degrees): 4.0656 4.0656 4.0656 60.00 60.00 60.00
Element x y z (fractional)
Be1 0.0000 0.0000 0.0000
Zn1 0.5000 0.5000 0.5000
Ag1 0.2500 0.2500 0.2500



10.
Entry from Alexandria: a PBEsol-optimized structure of Li2CrTc (SCAN).

Values from the calculation:
magnetization = 0.0 μB per cell
raw total energy = -14.15 eV per atom
relative energy among the computed polymorphs = 115 meV per atom
crystal system = orthorhombic
energy of formation from the pure elements = 0.40 eV/atom

Lattice parameters (Å, degrees): 2.4043 4.5456 4.6909 90.00 90.00 90.00
Element x y z (fractional)
Cr1 0.5000 0.5000 0.5000
Li1 0.0000 0.0000 0.7517
Li2 0.0000 0.0000 0.2483
Tc1 0.5000 0.5000 0.0000



11.
Entry from Alexandria: a PBEsol-optimized structure of K3HgF (SCAN).

Values from the calculation:
magnetization = 0.3 μB per cell
raw total energy = -20.57 eV per atom
formation energy (no corrections) = -1235.8 meV per atom
crystal system = cubic

Lattice parameters (Å, degrees): 5.3597 5.3597 5.3597 90.00 90.00 90.00
Element x y z (fractional)
K1 0.0000 0.5000 0.0000
K2 0.0000 0.0000 0.5000
K3 0.5000 0.0000 0.0000
Hg1 0.5000 0.5000 0.5000
F1 0.0000 0.0000 0.0000



12.
Entry from Alexandria: a PBEsol-optimized structure of Mo2OsRh (SCAN).

Values from the calculation:
magnetization = 0.7 μB per cell
raw total energy = -43.58 eV per atom
relative energy among the computed polymorphs = 365 meV per atom
crystal system = cubic
energy of formation from the pure elements = 0.27 eV/atom

Lattice parameters (Å, degrees): 4.3576 4.3576 4.3576 60.00 60.00 60.00
Site moments in Bohr magnetons follow the coordinates.
Element x y z (fractional)
Mo1 0.0000 0.0000 0.0000  0.08
Mo2 0.7500 0.7500 0.7500  0.01
Os1 0.5000 0.5000 0.5000  0.22
Rh1 0.2500 0.2500 0.2500  0.35



13.
Entry from Alexandria: a PBEsol-optimized structure of TiFe3Hg (SCAN).

Values from the calculation:
magnetization = 7.2 μB per cell
raw total energy = -26.44 eV per atom
crystal system = cubic
energy of formation from the pure elements = 1.28 eV/atom

Lattice parameters (Å, degrees): 4.6966 4.6966 4.6966 90.00 90.00 90.00
Site moments in Bohr magnetons follow the coordinates.
Element x y z (fractional)
Ti1 0.5000 0.5000 0.5000  -1.79
Hg1 0.0000 0.0000 0.0000  0.00
Fe1 0.0000 0.5000 0.0000  3.25
Fe2 0.0000 0.0000 0.5000  3.25
Fe3 0.5000 0.0000 0.0000  3.25



14.
Entry from Alexandria: a PBEsol-optimized structure of K2HgBi2 (SCAN).

Values from the calculation:
magnetization = 0.0 μB per cell
raw total energy = -48.76 eV per atom
crystal system = tetragonal
energy of formation from the pure elements = -0.36 eV/atom

Lattice parameters (Å, degrees): 5.7285 7.8653 7.8653 90.00 90.00 90.00
Element x y z (fractional)
K1 0.5000 0.1650 0.6650
K2 0.5000 0.6650 0.8350
K3 0.5000 0.8350 0.3350
K4 0.5000 0.3350 0.1650
Bi1 0.0000 0.3584 0.8584
Bi2 0.0000 0.8584 0.6416
Bi3 0.0000 0.6416 0.1416
Bi4 0.0000 0.1416 0.3584
Hg1 0.0000 0.0000 0.0000
Hg2 0.0000 0.5000 0.5000



15.
Entry from Alexandria: a PBEsol-optimized structure of BMoPd3 (SCAN).

Values from the calculation:
magnetization = 4.1 μB per cell
raw total energy = -27.86 eV per atom
crystal system = cubic
energy of formation from the pure elements = 0.27 eV/atom

Lattice parameters (Å, degrees): 4.1340 4.1340 4.1340 90.00 90.00 90.00
Site moments in Bohr magnetons follow the coordinates.
Element x y z (fractional)
Mo1 0.5000 0.5000 0.5000  3.18
B1 0.0000 0.0000 0.0000  -0.01
Pd1 0.0000 0.5000 0.0000  0.24
Pd2 0.0000 0.0000 0.5000  0.24
Pd3 0.5000 0.0000 0.0000  0.24



16.
Entry from Alexandria: a PBEsol-optimized structure of ZnSb2Ir (SCAN).

Values from the calculation:
magnetization = 0.0 μB per cell
raw total energy = -39.57 eV per atom
relative energy among the computed polymorphs = 0 meV per atom
formation energy (no corrections) = 216.3 meV per atom
crystal system = trigonal

Lattice parameters (Å, degrees): 3.1574 3.1574 9.5570 80.49 80.49 60.00
Element x y z (fractional)
Ir1 0.2452 0.2452 0.2643
Sb1 0.9818 0.9818 0.0546
Sb2 0.7609 0.7609 0.7174
Zn1 0.5121 0.5121 0.4637



17.
Entry from Alexandria: a PBEsol-optimized structure of SiHgSb3 (SCAN).

Values from the calculation:
magnetization = 0.0 μB per cell
raw total energy = -37.34 eV per atom
formation energy (no corrections) = 657.5 meV per atom
crystal system = cubic

Lattice parameters (Å, degrees): 5.1806 5.1806 5.1806 90.00 90.00 90.00
Element x y z (fractional)
Sb1 0.0000 0.5000 0.0000
Sb2 0.0000 0.0000 0.5000
Sb3 0.5000 0.0000 0.0000
Si1 0.0000 0.0000 0.0000
Hg1 0.5000 0.5000 0.5000



18.
Entry from Alexandria: a PBEsol-optimized structure of CrInIr (SCAN).

Values from the calculation:
magnetization = 3.5 μB per cell
raw total energy = -40.90 eV per atom
crystal system = hexagonal
energy of formation from the pure elements = 0.05 eV/atom

Lattice parameters (Å, degrees): 2.8980 4.3260 4.3260 120.00 90.00 90.00
Site moments in Bohr magnetons follow the coordinates.
Element x y z (fractional)
Cr1 0.5000 0.0000 0.0000  3.23
In1 0.0000 0.3333 0.6667  -0.05
Ir1 0.5000 0.6667 0.3333  0.11



19.
Entry from Alexandria: a PBEsol-optimized structure of Zr2AgAu2 (SCAN).

Values from the calculation:
magnetization = 0.0 μB per cell
raw total energy = -46.81 eV per atom
crystal system = tetragonal
energy of formation from the pure elements = -0.60 eV/atom

Lattice parameters (Å, degrees): 3.5049 7.4414 7.4414 90.00 90.00 90.00
Element x y z (fractional)
Au1 0.0000 0.3686 0.8686
Au2 0.0000 0.8686 0.6314
Au3 0.0000 0.6314 0.1314
Au4 0.0000 0.1314 0.3686
Zr1 0.5000 0.1705 0.6705
Zr2 0.5000 0.6705 0.8295
Zr3 0.5000 0.8295 0.3295
Zr4 0.5000 0.3295 0.1705
Ag1 0.0000 0.0000 0.0000
Ag2 0.0000 0.5000 0.5000



20.
Entry from Alexandria: a PBEsol-optimized structure of In2HgPd2 (SCAN).

Values from the calculation:
magnetization = 0.0 μB per cell
raw total energy = -40.49 eV per atom
crystal system = tetragonal
energy of formation from the pure elements = -0.40 eV/atom

Lattice parameters (Å, degrees): 3.3999 7.3726 7.3726 90.00 90.00 90.00
Element x y z (fractional)
Hg1 0.0000 0.0000 0.0000
Hg2 0.0000 0.5000 0.5000
Pd1 0.0000 0.3564 0.8564
Pd2 0.0000 0.8564 0.6436
Pd3 0.0000 0.6436 0.1436
Pd4 0.0000 0.1436 0.3564
In1 0.5000 0.1540 0.6540
In2 0.5000 0.6540 0.8460
In3 0.5000 0.8460 0.3460
In4 0.5000 0.3460 0.1540



21.
Entry from Alexandria: a PBEsol-optimized structure of Na3CoBPO7 (SCAN).

Values from the calculation:
magnetization = 0.1 μB per cell
raw total energy = -9.27 eV per atom
formation energy (no corrections) = -2240.0 meV per atom
crystal system = monoclinic

Lattice parameters (Å, degrees): 5.1411 6.2465 8.8414 90.00 92.29 90.00
Element x y z (fractional)
Na1 0.2335 0.0000 0.0738
Na2 0.7665 0.5000 0.9263
Na3 0.7516 0.7581 0.2631
Na4 0.7516 0.2419 0.2631
Na5 0.2484 0.2580 0.7370
Na6 0.2484 0.7420 0.7370
Co1 0.2208 0.5000 0.3350
Co2 0.7792 0.0000 0.6650
B1 0.2738 0.5000 0.0738
B2 0.7262 0.0000 0.9263
P1 0.2798 0.0000 0.4254
P2 0.7202 0.5000 0.5747
O1 0.6960 0.0000 0.0758
O2 0.3039 0.5000 0.9242
O3 0.0363 0.5000 0.1453
O4 0.9637 0.0000 0.8548
O5 0.4719 0.5000 0.1863
O6 0.5281 0.0000 0.8137
O7 0.5754 0.0000 0.4710
O8 0.4246 0.5000 0.5290
O9 0.8847 0.5000 0.4346
O10 0.1153 0.0000 0.5655
O11 0.2150 0.8072 0.3179
O12 0.2150 0.1928 0.3179
O13 0.7851 0.3072 0.6822
O14 0.7851 0.6928 0.6822



22.
Entry from Alexandria: a PBEsol-optimized structure of LaTl2Pb (SCAN).

Values from the calculation:
magnetization = 0.6 μB per cell
raw total energy = -66.23 eV per atom
crystal system = tetragonal
energy of formation from the pure elements = -0.33 eV/atom

Lattice parameters (Å, degrees): 3.9774 3.9774 7.2042 90.00 90.00 90.00
Site moments in Bohr magnetons follow the coordinates.
Element x y z (fractional)
La1 0.5000 0.5000 0.0000  -0.22
Pb1 0.5000 0.5000 0.5000  0.01
Tl1 0.0000 0.0000 0.7305  -0.02
Tl2 0.0000 0.0000 0.2695  -0.02



23.
Entry from Alexandria: a PBEsol-optimized structure of YMnSbO2 (SCAN).

Values from the calculation:
magnetization = 3.3 μB per cell
raw total energy = -19.89 eV per atom
formation energy (no corrections) = -724.9 meV per atom
crystal system = tetragonal

Lattice parameters (Å, degrees): 3.9450 3.9450 5.5479 90.00 90.00 90.00
Site moments in Bohr magnetons follow the coordinates.
Element x y z (fractional)
Y1 0.0000 0.0000 0.5000  -0.09
Sb1 0.5000 0.5000 0.5000  0.04
Mn1 0.0000 0.0000 0.0000  3.03
O1 0.0000 0.5000 0.0000  0.09
O2 0.5000 0.0000 0.0000  0.09



24.
Entry from Alexandria: a PBEsol-optimized structure of Li3CdH (SCAN).

Values from the calculation:
magnetization = 0.0 μB per cell
raw total energy = -8.47 eV per atom
crystal system = cubic

Lattice parameters (Å, degrees): 4.0769 4.0769 4.0769 90.00 90.00 90.00
Element x y z (fractional)
H1 0.0000 0.0000 0.0000
Cd1 0.5000 0.5000 0.5000
Li1 0.0000 0.5000 0.0000
Li2 0.0000 0.0000 0.5000
Li3 0.5000 0.0000 0.0000



25.
Entry from Alexandria: a PBEsol-optimized structure of CaErAl4 (SCAN).

Values from the calculation:
magnetization = 0.1 μB per cell
raw total energy = -15.58 eV per atom
crystal system = cubic
energy of formation from the pure elements = -0.41 eV/atom

Lattice parameters (Å, degrees): 5.5391 5.5391 5.5391 60.00 60.00 60.00
Element x y z (fractional)
Ca1 0.7500 0.7500 0.7500
Al1 0.8762 0.3746 0.3746
Al2 0.3746 0.3746 0.3746
Al3 0.3746 0.8762 0.3746
Al4 0.3746 0.3746 0.8762
Er1 0.0000 0.0000 0.0000



26.
Entry from Alexandria: a PBEsol-optimized structure of SrTaRe2Au (SCAN).

Values from the calculation:
magnetization = 2.6 μB per cell
raw total energy = -58.03 eV per atom
crystal system = tetragonal
energy of formation from the pure elements = 2.02 eV/atom

Lattice parameters (Å, degrees): 4.8680 4.9593 4.9593 90.00 90.00 90.00
Site moments in Bohr magnetons follow the coordinates.
Element x y z (fractional)
Re1 0.0000 0.0000 0.5000  1.48
Re2 0.0000 0.5000 0.0000  1.48
Au1 0.0000 0.0000 0.0000  0.22
Sr1 0.5000 0.5000 0.5000  0.00
Ta1 0.5000 0.0000 0.0000  -0.98